Record 1
The following is a DFT calculation (PBE) of an optimized crystal structure of HfAs2N.

Cell: 3.1048 3.1048 14.5910 Å, 90.00 90.00 120.00°
Last column: nearest neighbours and their distance in Å.
Positions (direct):
Hf 0.3333 0.6667 0.2500  6 As 2.84, 6 Hf 3.10
Hf 0.6667 0.3333 0.7500  6 As 2.84, 6 Hf 3.10
As 0.3333 0.6667 0.5987  3 N 2.30
As 0.3333 0.6667 0.9013  3 N 2.30
As 0.6667 0.3333 0.0987  3 N 2.30
As 0.6667 0.3333 0.4013  3 N 2.30
N 0.0000 0.0000 0.0000  6 As 2.30
N 0.0000 0.0000 0.5000  6 As 2.30

Calculated density = 9.33 g cm⁻³
Total energy = -50.839 eV per cell



Record 2
The following is a DFT calculation (PBE) of an optimized crystal structure of LiLuGaCo.

Cell: 4.4478 4.4478 4.4478 Å, 60.00 60.00 60.00°
Last column: nearest neighbours and their distance in Å.
Positions (direct):
Li 0.0000 0.0000 0.0000  4 Ga 2.72, 4 Lu 2.72
Lu 0.7500 0.7500 0.7500  4 Co 2.72, 4 Li 2.72
Ga 0.2500 0.2500 0.2500  4 Co 2.72, 4 Li 2.72
Co 0.5000 0.5000 0.5000  4 Lu 2.72, 4 Ga 2.72

E above lowest polymorph = 0 meV per atom
Calculated density = 8.29 g cm⁻³
Total energy = -17.664 eV per cell



Record 3
The following is a DFT calculation (PBE) of an optimized crystal structure of SmGaMo.

Cell: 4.8386 4.8386 4.8386 Å, 60.00 60.00 60.00°
Last column: nearest neighbours and their distance in Å.
Positions (direct):
Sm 0.0000 0.0000 0.0000  4 Mo 2.96, 4 Ga 2.96
Ga 0.7500 0.7500 0.7500  4 Sm 2.96
Mo 0.2500 0.2500 0.2500  4 Sm 2.96

E above lowest polymorph = 721 meV per atom
Calculated density = 6.55 g cm⁻³
Total energy = -15.277 eV per cell



Record 4
The following is a DFT calculation (PBE) of an optimized crystal structure of Ta2In2O7.

Cell: 5.7167 5.7167 5.4383 Å, 95.14 95.14 106.69°
Last column: nearest neighbours and their distance in Å.
Positions (direct):
Ta 0.2388 0.2388 0.0875  4 O 1.88-1.93
Ta 0.7612 0.7612 0.9125  4 O 1.88-1.93
In 0.2018 0.7982 0.5000  6 O 2.22-2.38
In 0.7982 0.2018 0.5000  6 O 2.22-2.38
O 0.0629 0.0629 0.7756  1 Ta 1.93
O 0.0848 0.4296 0.2781  1 Ta 1.88
O 0.4296 0.0848 0.2781  1 Ta 1.88
O 0.5000 0.5000 0.0000  2 Ta 1.91
O 0.5704 0.9152 0.7219  1 Ta 1.88
O 0.9152 0.5704 0.7219  1 Ta 1.88
O 0.9371 0.9371 0.2244  1 Ta 1.93

Calculated density = 6.94 g cm⁻³
Total energy = -86.836 eV per cell



Record 5
The following is a DFT calculation (PBE) of an optimized crystal structure of FeB2W3.

Cell: 5.4964 4.4915 4.5531 Å, 74.84 52.07 53.09°
Last column: nearest neighbours and their distance in Å.
Positions (direct):
Fe 0.0000 0.0000 0.0000  4 B 2.34, 2 W 2.61
B 0.0721 0.0721 0.4279  2 B 2.31, 6 W 2.33-2.37, 2 Fe 2.34
B 0.5721 0.5721 0.9279  2 B 2.31, 6 W 2.33-2.37, 2 Fe 2.34
W 0.1582 0.4889 0.5111  4 B 2.33-2.35, 1 W 2.59
W 0.4889 0.1582 0.8418  4 B 2.33-2.35, 1 W 2.59
W 0.6577 0.6577 0.3423  4 B 2.37, 3 Fe 2.61-2.64

E above lowest polymorph = 0 meV per atom
Calculated density = 14.95 g cm⁻³
Total energy = -61.834 eV per cell



Record 6
The following is a DFT calculation (PBE) of an optimized crystal structure of BeInFeSb.

Cell: 4.6237 4.6237 4.6237 Å, 60.00 60.00 60.00°
Last column: nearest neighbours and their distance in Å.
Positions (direct):
Be 0.0000 0.0000 0.0000  4 In 2.83, 4 Sb 2.83
In 0.7500 0.7500 0.7500  4 Fe 2.83, 4 Be 2.83
Fe 0.5000 0.5000 0.5000  4 In 2.83, 4 Sb 2.83
Sb 0.2500 0.2500 0.2500  4 Fe 2.83, 4 Be 2.83

E above lowest polymorph = 0 meV per atom
Calculated density = 7.16 g cm⁻³
Total energy = -16.471 eV per cell



Record 7
The following is a DFT calculation (PBE) of an optimized crystal structure of LuFeCu.

Cell: 4.3139 4.3139 4.3139 Å, 60.00 60.00 60.00°
Last column: nearest neighbours and their distance in Å.
Positions (direct):
Lu 0.0000 0.0000 0.0000  4 Cu 2.64
Fe 0.5000 0.5000 0.5000  4 Cu 2.64
Cu 0.7500 0.7500 0.7500  4 Fe 2.64, 4 Lu 2.64

E_form = 305.5 meV/atom
Calculated density = 8.61 g cm⁻³
Total energy = -15.633 eV per cell



Record 8
The following is a DFT calculation (PBE) of an optimized crystal structure of TmZrPbSe3.

Cell: 7.9802 7.9802 10.8570 Å, 90.00 90.00 152.50°
Last column: nearest neighbours and their distance in Å.
Positions (direct):
Tm 0.1072 0.8928 0.7500  4 Se 2.74-2.78
Tm 0.8928 0.1072 0.2500  4 Se 2.74-2.78
Zr 0.5000 0.5000 0.0000  6 Se 2.74
Zr 0.5000 0.5000 0.5000  6 Se 2.74
Pb 0.2175 0.7825 0.2500  2 Se 3.04, 2 Tm 3.31
Pb 0.7825 0.2175 0.7500  2 Se 3.04, 2 Tm 3.31
Se 0.1279 0.8721 0.0010  1 Tm 2.74, 2 Zr 2.74, 1 Pb 3.04
Se 0.1279 0.8721 0.4990  1 Tm 2.74, 2 Zr 2.74, 1 Pb 3.04
Se 0.4762 0.5238 0.7500  2 Zr 2.74, 2 Tm 2.78
Se 0.5238 0.4762 0.2500  2 Zr 2.74, 2 Tm 2.78
Se 0.8721 0.1279 0.5010  1 Tm 2.74, 2 Zr 2.74, 1 Pb 3.04
Se 0.8721 0.1279 0.9990  1 Tm 2.74, 2 Zr 2.74, 1 Pb 3.04

E above lowest polymorph = 42 meV per atom
Calculated density = 7.33 g cm⁻³
Total energy = -67.093 eV per cell



Record 9
The following is a DFT calculation (PBE) of an optimized crystal structure of CsFe2P2.

Cell: 7.5734 7.5734 7.5734 Å, 150.82 150.82 41.74°
Last column: nearest neighbours and their distance in Å.
Positions (direct):
Cs 0.0000 0.0000 0.0000  8 P 3.66, 4 Cs 3.82, 8 Fe 4.02
Fe 0.2500 0.7500 0.5000  4 P 2.18
Fe 0.7500 0.2500 0.5000  4 P 2.18
P 0.3252 0.3252 0.0000  4 Fe 2.18
P 0.6748 0.6748 0.0000  4 Fe 2.18

Calculated density = 4.94 g cm⁻³
Total energy = -30.806 eV per cell



Record 10
The following is a DFT calculation (PBE) of an optimized crystal structure of LiFeBiW.

Cell: 4.5300 4.5300 4.5300 Å, 60.00 60.00 60.00°
Last column: nearest neighbours and their distance in Å.
Positions (direct):
Li 0.0000 0.0000 0.0000  4 Fe 2.77, 4 W 2.77
Fe 0.7500 0.7500 0.7500  4 Bi 2.77, 4 Li 2.77
Bi 0.5000 0.5000 0.5000  4 W 2.77, 4 Fe 2.77
W 0.2500 0.2500 0.2500  4 Bi 2.77, 4 Li 2.77

E above lowest polymorph = 271 meV per atom
Calculated density = 11.51 g cm⁻³
Total energy = -23.624 eV per cell



Record 11
The following is a DFT calculation (PBE) of an optimized crystal structure of ReBr2.

Cell: 6.0068 6.0068 6.0068 Å, 60.00 60.00 60.00°
Last column: nearest neighbours and their distance in Å.
Positions (direct):
Re 0.1250 0.1250 0.1250  12 Br 3.52, 4 Re 3.68
Re 0.8750 0.8750 0.8750  12 Br 3.52, 4 Re 3.68
Br 0.0000 0.5000 0.5000  6 Br 3.00
Br 0.5000 0.0000 0.5000  6 Br 3.00
Br 0.5000 0.5000 0.0000  6 Br 3.00
Br 0.5000 0.5000 0.5000  6 Br 3.00

E above lowest polymorph = 1905 meV per atom
Calculated density = 7.50 g cm⁻³
Total energy = -16.878 eV per cell



Record 12
The following is a DFT calculation (PBE) of an optimized crystal structure of ScCd2C.

Cell: 3.6433 3.6433 13.3832 Å, 90.00 90.00 120.00°
Last column: nearest neighbours and their distance in Å.
Positions (direct):
Sc 0.3333 0.6667 0.2500  6 Cd 3.04
Sc 0.6667 0.3333 0.7500  6 Cd 3.04
Cd 0.3333 0.6667 0.5859  3 C 2.40
Cd 0.3333 0.6667 0.9141  3 C 2.40
Cd 0.6667 0.3333 0.0859  3 C 2.40
Cd 0.6667 0.3333 0.4141  3 C 2.40
C 0.0000 0.0000 0.0000  6 Cd 2.40
C 0.0000 0.0000 0.5000  6 Cd 2.40

Calculated density = 6.08 g cm⁻³
Total energy = -27.606 eV per cell